Entry 1:
Entry from the Alexandria database: a relaxed La8Bi5Se crystal (PBE).

a b c (Å): 8.458 8.458 8.458
angles (deg): 109.85 109.85 108.72
Fractional positions:
1 La 0.125 0.376 0.606
2 La 0.129 0.399 0.123
3 La 0.276 0.006 0.877
4 La 0.482 0.875 0.252
5 La 0.601 0.724 0.730
6 La 0.624 0.230 0.748
7 La 0.770 0.518 0.394
8 La 0.994 0.871 0.270
9 Bi 0.370 0.244 0.363
10 Bi 0.500 0.500 0.000
11 Bi 0.756 0.119 0.127
12 Bi 0.881 0.007 0.637
13 Bi 0.993 0.630 0.873
14 Se 0.250 0.750 0.500

Results
Formation energy without anion corrections (eV/atom): -1.02


Entry 2:
Entry from the Alexandria database: a relaxed U3Si crystal (PBE).

a b c (Å): 5.143 5.143 5.143
angles (deg): 130.90 130.90 71.98
Fractional positions:
1 U 0.000 0.000 0.000
2 U 0.250 0.750 0.500
3 U 0.750 0.250 0.500
4 Si 0.500 0.500 0.000

Results
Formation energy without anion corrections (eV/atom): -0.21
E above lowest polymorph (meV/atom): 35


Entry 3:
Entry from the Alexandria database: a relaxed BeHgPt3 crystal (PBE).

a b c (Å): 7.998 7.998 7.998
angles (deg): 60.00 60.00 60.00
Fractional positions:
1 Be 0.000 0.000 0.000
2 Be 0.000 0.000 0.500
3 Be 0.000 0.500 0.000
4 Be 0.500 0.000 0.000
5 Hg 0.000 0.500 0.500
6 Hg 0.500 0.000 0.500
7 Hg 0.500 0.500 0.000
8 Hg 0.500 0.500 0.500
9 Pt 0.081 0.081 0.669
10 Pt 0.081 0.669 0.081
11 Pt 0.081 0.669 0.669
12 Pt 0.331 0.331 0.919
13 Pt 0.331 0.919 0.331
14 Pt 0.331 0.919 0.919
15 Pt 0.669 0.081 0.081
16 Pt 0.669 0.081 0.669
17 Pt 0.669 0.669 0.081
18 Pt 0.919 0.331 0.331
19 Pt 0.919 0.331 0.919
20 Pt 0.919 0.919 0.331

Results
E above lowest polymorph (meV/atom): 250
Calculated formation energy (kcal/mol of atoms): -1.24


Entry 4:
Entry from the Alexandria database: a relaxed Eu2HgI crystal (PBE).

a b c (Å): 3.907 3.907 8.585
angles (deg): 90.00 90.00 90.00
Fractional positions:
1 Eu 0.000 0.000 0.224
2 Eu 0.000 0.000 0.776
3 Hg 0.500 0.500 0.000
4 I 0.500 0.500 0.500

Results
Formation energy without anion corrections (eV/atom): -0.78
E above lowest polymorph (meV/atom): 32


> What is the formula in the fourth record?

Eu2HgI